Density functional theory data (GGA-PBE) for a relaxed CaTi crystal.

ΔE_f   1.207 eV per atom
Energy above the lowest structure with this stoichiometry   1.51 eV/f.u.
Density   2.08 g cm⁻³

abc: 11.3990 11.3990 3.7421
angles: 90.00 90.00 120.00
Space group P6_3/m (No. 176)
Asymmetric unit:
Ca (0.1585, 0.3214, 0.2500) [6 per cell]
Ti (0.0556, 0.5290, 0.2500) [6 per cell]

Density functional theory data (GGA-PBE) for a relaxed Nd4Sm7Y crystal.

ΔE_f   0.249 eV per atom
Energy above the lowest structure with this stoichiometry   2.00 eV/f.u.
Density   6.74 g cm⁻³

abc: 12.1956 6.0677 12.9325
angles: 90.00 117.76 90.00
Space group C2/m (No. 12)
Asymmetric unit:
Nd (0.0600, 0.0000, 0.3269) [4 per cell]
Nd (0.1372, 0.5000, 0.7779) [4 per cell]
Sm (0.0000, 0.0000, 0.0000) [2 per cell]
Sm (0.1326, 0.5000, 0.5018) [4 per cell]
Sm (0.2092, 0.0000, 0.9223) [4 per cell]
Sm (0.2476, 0.0000, 0.6824) [4 per cell]
Y (0.0000, 0.5000, 0.0000) [2 per cell]

Density functional theory data (GGA-PBE) for a relaxed NdInSi crystal.

Formation energy (no corrections)   -10.32 kcal/mol of atoms
Density   6.38 g cm⁻³

abc: 4.3688 4.3688 4.5234
angles: 90.00 90.00 120.00
Space group P3m1 (No. 156)
Asymmetric unit:
Nd (0.0000, 0.0000, 0.0000) [1 per cell]
In (0.6667, 0.3333, 0.5584) [1 per cell]
Si (0.3333, 0.6667, 0.3787) [1 per cell]

Density functional theory data (GGA-PBE) for a relaxed Tm2Ga6Tc crystal.

ΔE_f   -0.437 eV per atom
Energy above the lowest structure with this stoichiometry   0.12 eV/f.u.
Density   8.59 g cm⁻³

abc: 5.7290 5.7290 5.8111
angles: 90.00 90.00 120.00
Space group P-3m1 (No. 164)
Asymmetric unit:
Tm (0.3333, 0.6667, 0.1485) [2 per cell]
Ga (0.1751, 0.3502, 0.6768) [6 per cell]
Tc (0.0000, 0.0000, 0.0000) [1 per cell]

Density functional theory data (GGA-PBE) for a relaxed TeAsIr4 crystal.

Formation energy (no corrections)   15.67 kcal/mol of atoms
Density   15.24 g cm⁻³

abc: 7.5083 7.5083 7.5083
angles: 90.00 90.00 90.00
Space group F-43m (No. 216)
Asymmetric unit:
Te (0.0000, 0.0000, 0.0000) [4 per cell]
As (0.2500, 0.2500, 0.7500) [4 per cell]
Ir (0.1247, 0.1247, 0.3753) [16 per cell]

Density functional theory data (GGA-PBE) for a relaxed Li2CdTeO4 crystal.

Formation energy (no corrections)   -29.02 kcal/mol of atoms
Density   5.36 g cm⁻³

abc: 6.3802 6.4566 9.5636
angles: 90.00 90.00 90.00
Space group Imma (No. 74)
Asymmetric unit:
Li (0.0000, 0.0000, 0.0000) [4 per cell]
Li (0.2500, 0.2500, 0.2500) [4 per cell]
Cd (0.2500, 0.2500, 0.7500) [4 per cell]
Te (0.0000, 0.0000, 0.5000) [4 per cell]
O (0.0000, 0.0093, 0.2728) [8 per cell]
O (0.2497, 0.2500, 0.0034) [8 per cell]

Density functional theory data (GGA-PBE) for a relaxed AlNi2Bi2 crystal.

ΔE_f   0.211 eV per atom
Energy above the lowest structure with this stoichiometry   0.52 eV/f.u.
Density   9.04 g cm⁻³

abc: 5.4112 5.4112 7.0534
angles: 90.00 90.00 90.00
Space group I4/mmm (No. 139)
Asymmetric unit:
Al (0.0000, 0.0000, 0.0000) [2 per cell]
Ni (0.0000, 0.0000, 0.3297) [4 per cell]
Bi (0.0000, 0.5000, 0.2500) [4 per cell]

Density functional theory data (GGA-PBE) for a relaxed HfRe3Se crystal.

Formation energy (no corrections)   62.16 kcal/mol of atoms
Energy above the lowest structure with this stoichiometry   7.77 eV/f.u.
Density   12.05 g cm⁻³

abc: 4.8275 4.8275 4.8275
angles: 90.00 90.00 90.00
Space group Pm-3m (No. 221)
Asymmetric unit:
Hf (0.0000, 0.0000, 0.0000) [1 per cell]
Re (0.0000, 0.0000, 0.5000) [3 per cell]
Se (0.5000, 0.5000, 0.5000) [1 per cell]

Density functional theory data (GGA-PBE) for a relaxed RbMg3Hg2 crystal.

ΔE_f   -0.141 eV per atom
Density   5.17 g cm⁻³

abc: 18.2391 4.6729 9.2107
angles: 90.00 113.80 90.00
Space group C2/m (No. 12)
Asymmetric unit:
Rb (0.1578, 0.0000, 0.0634) [4 per cell]
Mg (0.0345, 0.0000, 0.3646) [4 per cell]
Mg (0.0862, 0.5000, 0.6522) [4 per cell]
Mg (0.1811, 0.5000, 0.4388) [4 per cell]
Hg (0.0219, 0.5000, 0.1731) [4 per cell]
Hg (0.1820, 0.0000, 0.6458) [4 per cell]

Density functional theory data (GGA-PBE) for a relaxed NaCe2AlS5 crystal.

Formation energy (no corrections)   -36.93 kcal/mol of atoms
Density   4.12 g cm⁻³

abc: 3.8782 17.0025 11.9854
angles: 90.00 90.00 90.00
Space group Cmc2_1 (No. 36)
Asymmetric unit:
Na (0.0000, 0.1928, 0.0000) [4 per cell]
Ce (0.0000, 0.1210, 0.6546) [4 per cell]
Ce (0.0000, 0.1364, 0.3038) [4 per cell]
Al (0.0000, 0.4515, 0.3965) [4 per cell]
S (0.0000, 0.0217, 0.9922) [4 per cell]
S (0.0000, 0.2924, 0.6679) [4 per cell]
S (0.0000, 0.3283, 0.3278) [4 per cell]
S (0.0000, 0.3518, 0.9820) [4 per cell]
S (0.0000, 0.4879, 0.7309) [4 per cell]

Density functional theory data (GGA-PBE) for a relaxed HoNi2 crystal.

ΔE_f   -0.180 eV per atom
Density   9.77 g cm⁻³

abc: 3.2983 3.2983 8.8257
angles: 90.00 90.00 90.00
Space group I4/mmm (No. 139)
Asymmetric unit:
Ho (0.0000, 0.0000, 0.0000) [2 per cell]
Ni (0.0000, 0.0000, 0.3133) [4 per cell]

Density functional theory data (GGA-PBE) for a relaxed Sr2In12Au crystal.

ΔE_f   -0.218 eV per atom
Density   6.81 g cm⁻³

abc: 6.9532 6.9532 17.6534
angles: 90.00 90.00 90.00
Space group P4/nbm (No. 125, origin choice 2)
Asymmetric unit:
Sr (0.2500, 0.7500, 0.2450) [4 per cell]
In (0.0001, 0.9999, 0.0874) [8 per cell]
In (0.0843, 0.5843, 0.4306) [8 per cell]
In (0.2500, 0.2500, 0.1843) [4 per cell]
In (0.2500, 0.2500, 0.3446) [4 per cell]
Au (0.2500, 0.7500, 0.0000) [2 per cell]

Density functional theory data (GGA-PBE) for a relaxed BaSrPb2 crystal.

ΔE_f   -0.204 eV per atom
Density   6.54 g cm⁻³

abc: 9.3728 9.3728 7.3969
angles: 90.00 90.00 90.00
Space group I-42d (No. 122)
Asymmetric unit:
Ba (0.0000, 0.0000, 0.0000) [4 per cell]
Sr (0.0000, 0.0000, 0.5000) [4 per cell]
Pb (0.2381, 0.2500, 0.6250) [8 per cell]

Density functional theory data (GGA-PBE) for a relaxed KTcCl2 crystal.

Formation energy (no corrections)   -6.21 kcal/mol of atoms
Energy above the lowest structure with this stoichiometry   0.60 eV/f.u.
Density   3.23 g cm⁻³

abc: 14.2340 3.4703 4.3318
angles: 90.00 90.18 90.00
Space group Cm (No. 8)
Asymmetric unit:
K (0.0000, 0.0000, 0.0000) [2 per cell]
Tc (0.2332, 0.0000, 0.5066) [2 per cell]
Cl (0.1910, 0.5000, 0.0048) [2 per cell]
Cl (0.4129, 0.0000, 0.4993) [2 per cell]

Density functional theory data (GGA-PBE) for a relaxed ZrTiNbTl crystal.

ΔE_f   0.087 eV per atom
Density   9.06 g cm⁻³

abc: 6.8384 6.8384 6.8384
angles: 90.00 90.00 90.00
Space group F-43m (No. 216)
Asymmetric unit:
Zr (0.0000, 0.0000, 0.0000) [4 per cell]
Ti (0.0000, 0.0000, 0.5000) [4 per cell]
Nb (0.2500, 0.2500, 0.7500) [4 per cell]
Tl (0.2500, 0.2500, 0.2500) [4 per cell]

Density functional theory data (GGA-PBE) for a relaxed Al2AgHRh crystal.

Density   6.96 g cm⁻³
Raw total energy   -22.19 eV/f.u.

abc: 4.2827 4.2827 3.4580
angles: 90.00 90.00 90.00
Space group P4/mmm (No. 123)
Asymmetric unit:
Al (0.0000, 0.5000, 0.0000) [2 per cell]
Ag (0.0000, 0.0000, 0.5000) [1 per cell]
H (0.5000, 0.5000, 0.0000) [1 per cell]
Rh (0.5000, 0.5000, 0.5000) [1 per cell]

Density functional theory data (GGA-PBE) for a relaxed LiAcGaPd2 crystal.

ΔE_f   -0.727 eV per atom
Density   8.34 g cm⁻³

abc: 4.1587 4.1587 11.8872
angles: 90.00 90.00 90.00
Space group I-4m2 (No. 119)
Asymmetric unit:
Li (0.0000, 0.0000, 0.0000) [2 per cell]
Ac (0.0000, 0.5000, 0.7500) [2 per cell]
Ga (0.0000, 0.0000, 0.5000) [2 per cell]
Pd (0.0000, 0.5000, 0.1322) [4 per cell]

Density functional theory data (GGA-PBE) for a relaxed Ba8PdAu2 crystal.

ΔE_f   -0.385 eV per atom
Energy above the lowest structure with this stoichiometry   0.00 eV/f.u.
Density   4.85 g cm⁻³

abc: 14.2275 10.2323 7.9272
angles: 90.00 108.28 90.00
Space group C2/m (No. 12)
Asymmetric unit:
Ba (0.0770, 0.0000, 0.2659) [4 per cell]
Ba (0.1337, 0.5000, 0.2477) [4 per cell]
Ba (0.1461, 0.2936, 0.7485) [8 per cell]
Pd (0.0000, 0.5000, 0.5000) [2 per cell]
Au (0.1876, 0.0000, 0.9558) [4 per cell]

Density functional theory data (GGA-PBE) for a relaxed IrRhPb2 crystal.

ΔE_f   0.329 eV per atom
Energy above the lowest structure with this stoichiometry   0.53 eV/f.u.
Density   15.13 g cm⁻³

abc: 4.6515 4.6515 3.5982
angles: 90.00 90.00 90.00
Space group P4/mmm (No. 123)
Asymmetric unit:
Ir (0.0000, 0.0000, 0.0000) [1 per cell]
Rh (0.5000, 0.5000, 0.0000) [1 per cell]
Pb (0.0000, 0.5000, 0.5000) [2 per cell]

Density functional theory data (GGA-PBE) for a relaxed HoTh2Rh5 crystal.

ΔE_f   -0.831 eV per atom
Density   12.21 g cm⁻³

abc: 5.9432 11.6901 4.4768
angles: 90.00 90.00 90.00
Space group Pbam (No. 55)
Asymmetric unit:
Ho (0.0000, 0.0000, 0.0000) [2 per cell]
Th (0.1488, 0.3523, 0.5000) [4 per cell]
Rh (0.0000, 0.5000, 0.0000) [2 per cell]
Rh (0.1013, 0.7483, 0.0000) [4 per cell]
Rh (0.1769, 0.1090, 0.5000) [4 per cell]

Density functional theory data (GGA-PBE) for a relaxed NiHg2P crystal.

ΔE_f   0.515 eV per atom
Density   10.57 g cm⁻³

abc: 4.0509 4.0509 18.8025
angles: 90.00 90.00 90.00
Space group I-42d (No. 122)
Asymmetric unit:
Ni (0.0000, 0.0000, 0.0000) [4 per cell]
Hg (0.2421, 0.2500, 0.1250) [8 per cell]
P (0.0000, 0.0000, 0.5000) [4 per cell]

Density functional theory data (GGA-PBE) for a relaxed CeThScPa crystal.

ΔE_f   0.268 eV per atom
Density   9.87 g cm⁻³

abc: 7.5831 7.5831 7.5831
angles: 90.00 90.00 90.00
Space group F-43m (No. 216)
Asymmetric unit:
Ce (0.0000, 0.0000, 0.0000) [4 per cell]
Th (0.0000, 0.0000, 0.5000) [4 per cell]
Sc (0.2500, 0.2500, 0.7500) [4 per cell]
Pa (0.2500, 0.2500, 0.2500) [4 per cell]

Density functional theory data (GGA-PBE) for a relaxed Au3C crystal.

ΔE_f   0.560 eV per atom
Energy above the lowest structure with this stoichiometry   0.00 eV/f.u.
Density   15.29 g cm⁻³

abc: 9.1000 10.5435 2.7301
angles: 90.00 90.00 90.00
Space group Cmcm (No. 63)
Asymmetric unit:
Au (0.0000, 0.1319, 0.2500) [4 per cell]
Au (0.2187, 0.3693, 0.2500) [8 per cell]
C (0.0000, 0.4700, 0.2500) [4 per cell]